1.
Here is CsNi2Br after structural relaxation from Alexandria. Energies are from PBE.

It has space group I4_1/amd (No. 141, origin choice 2), with a = 5.3197 Å, b = 5.3197 Å, c = 14.9864 Å, α = 90.00°, β = 90.00° and γ = 90.00°. The asymmetric unit holds Cs at (0.0000, 0.2500, 0.3750), Ni at (0.0000, 0.0000, 0.0000) and Br at (0.0000, 0.2500, 0.8750).

As for the formation energy without anion corrections: 0.2360 eV/atom. As for the density of states at the Fermi level: 0.23 states/eV/atom.

---

2.
Here is LiThGePt2 after structural relaxation from Alexandria. Energies are from PBE.

It has space group I-4m2 (No. 119), with a = 3.9425 Å, b = 3.9425 Å, c = 12.3213 Å, α = 90.00°, β = 90.00° and γ = 90.00°. The asymmetric unit holds Li at (0.0000, 0.0000, 0.0000), Th at (0.0000, 0.5000, 0.7500), Ge at (0.0000, 0.0000, 0.5000) and Pt at (0.0000, 0.5000, 0.1397).

Its total energy is -6.10 eV/atom. As for the density of states at the Fermi level: 0.74 states/eV/atom.

---

3.
Here is Tb2InFe2Rh5 after structural relaxation from Alexandria. Energies are from PBE.

It has space group P4/mbm (No. 127), with a = 9.6029 Å, b = 9.6029 Å, c = 3.7400 Å, α = 90.00°, β = 90.00° and γ = 90.00°. The asymmetric unit holds Tb at (0.1780, 0.3220, 0.0000), In at (0.0000, 0.0000, 0.0000), Fe at (0.1191, 0.6191, 0.0000), Rh at (0.0000, 0.5000, 0.5000) and Rh at (0.0674, 0.7873, 0.5000).

Its total energy is -7.00 eV/atom. As for the density of states at the Fermi level: 0.76 states/eV/atom.

---

4.
Here is Y2TeO6 after structural relaxation from Alexandria. Energies are from PBE.

It has space group C2/c (No. 15), with a = 16.1587 Å, b = 11.2340 Å, c = 5.4410 Å, α = 90.00°, β = 106.36° and γ = 90.00°. The asymmetric unit holds Y at (0.0000, 0.1045, 0.2500), Y at (0.0000, 0.3807, 0.7500), Y at (0.1742, 0.1106, 0.8880), Te at (0.1554, 0.3434, 0.4258), O at (0.0783, 0.4596, 0.4839), O at (0.0838, 0.2327, 0.5674), O at (0.0913, 0.0148, 0.0789), O at (0.0984, 0.2827, 0.0938), O at (0.2348, 0.4517, 0.3483) and O at (0.2428, 0.2911, 0.7292).

As for the formation energy without anion corrections: -2.4681 eV/atom. As for the density of states at the Fermi level: 0.00 states/eV/atom.